The following is a DFT calculation (PBE) of an optimized crystal structure of Be3VGe.

Summary:
Uncorrected energy: -3.897 eV per atom
Crystal system: cubic
Energy relative to the elements: 104.7 kJ/mol of atoms
E above lowest polymorph: 0 meV/atom

a = 4.1456 Å, b = 4.1456 Å, c = 4.1456 Å
α = 90.00°, β = 90.00°, γ = 90.00°
Atoms (fractional coordinates):
Be  0.0000  0.0000  0.5000
Be  0.0000  0.5000  0.0000
Be  0.5000  0.0000  0.0000
V  0.5000  0.5000  0.5000
Ge  0.0000  0.0000  0.0000